[1]
# AlCu4 | Alexandria | SCAN | PBEsol geometry
# - E: -135.694 eV for the cell shown
# - Volume: 131 Å³/cell
# - Formation enthalpy at 0 K: 0.14 eV per atom
data_AlCu4
_chemical_formula_sum 'Al2 Cu8'
_cell_length_a 3.317
_cell_length_b 3.317
_cell_length_c 11.919
_cell_angle_alpha 90.00
_cell_angle_beta 90.00
_cell_angle_gamma 90.00
_symmetry_space_group_name_H-M 'I 4/m m m'
_symmetry_Int_Tables_number 139
_symmetry_space_group_name_Hall '-I 4 2'
loop_
_atom_site_label
_atom_site_type_symbol
_atom_site_fract_x
_atom_site_fract_y
_atom_site_fract_z
Al1 Al 0.000 0.000 0.000
Cu1 Cu 0.000 0.000 0.402
Cu2 Cu 0.000 0.500 0.250

[2]
# Al4Cu15 | Alexandria | SCAN | PBEsol geometry
# - E: -261.943 eV for the cell shown
# - Volume: 231 Å³/cell
# - Formation enthalpy at 0 K: -0.16 eV per atom
data_Al4Cu15
_chemical_formula_sum 'Al4 Cu15'
_cell_length_a 3.599
_cell_length_b 3.599
_cell_length_c 17.822
_cell_angle_alpha 90.00
_cell_angle_beta 90.00
_cell_angle_gamma 90.00
_symmetry_space_group_name_H-M 'P 4/m m m'
_symmetry_Int_Tables_number 123
_symmetry_space_group_name_Hall '-P 4 2'
loop_
_atom_site_label
_atom_site_type_symbol
_atom_site_fract_x
_atom_site_fract_y
_atom_site_fract_z
Al1 Al 0.000 0.000 0.103
Al2 Al 0.000 0.000 0.310
Cu1 Cu 0.000 0.500 0.000
Cu2 Cu 0.000 0.500 0.206
Cu3 Cu 0.000 0.500 0.411
Cu4 Cu 0.500 0.500 0.103
Cu5 Cu 0.500 0.500 0.309
Cu6 Cu 0.500 0.500 0.500

[3]
# AlCu5 | Alexandria | SCAN | PBEsol geometry
# - E: -84.815 eV for the cell shown
# - Volume: 70 Å³/cell
# - Formation enthalpy at 0 K: -0.18 eV per atom
data_AlCu5
_chemical_formula_sum 'Al1 Cu5'
_cell_length_a 4.4144
_cell_length_b 4.4144
_cell_length_c 4.1556
_cell_angle_alpha 90.00
_cell_angle_beta 90.00
_cell_angle_gamma 120.00
_symmetry_space_group_name_H-M 'P -6 2 m'
_symmetry_Int_Tables_number 189
_symmetry_space_group_name_Hall 'P -6 -2'
loop_
_atom_site_label
_atom_site_type_symbol
_atom_site_fract_x
_atom_site_fract_y
_atom_site_fract_z
Al1 Al 0.0000 0.0000 0.0000
Cu1 Cu 0.0000 0.6640 0.5000
Cu2 Cu 0.3333 0.6667 0.0000

[4]
# Al3Cu | Alexandria | SCAN | PBEsol geometry
# - E: -77.199 eV for the cell shown
# - Volume: 122 Å³/cell
# - Formation enthalpy at 0 K: -0.04 eV per atom
data_Al3Cu
_chemical_formula_sum 'Al6 Cu2'
_cell_length_a 2.657
_cell_length_b 4.587
_cell_length_c 10.019
_cell_angle_alpha 90.00
_cell_angle_beta 90.00
_cell_angle_gamma 90.00
_symmetry_space_group_name_H-M 'I m m m'
_symmetry_Int_Tables_number 71
_symmetry_space_group_name_Hall '-I 2 2'
loop_
_atom_site_label
_atom_site_type_symbol
_atom_site_fract_x
_atom_site_fract_y
_atom_site_fract_z
Al1 Al 0.000 0.000 0.000
Al2 Al 0.000 0.500 0.218
Cu1 Cu 0.000 0.000 0.500

[5]
# Al4Cu5 | Alexandria | SCAN | PBEsol geometry
# - E: -218.000 eV for the cell shown
# - E above lowest polymorph: 0.000 eV/atom
# - Volume: 230 Å³/cell
# - Formation enthalpy at 0 K: -0.22 eV per atom
data_Al4Cu5
_chemical_formula_sum 'Al8 Cu10'
_cell_length_a 7.843
_cell_length_b 7.843
_cell_length_c 3.746
_cell_angle_alpha 90.00
_cell_angle_beta 90.00
_cell_angle_gamma 90.00
_symmetry_space_group_name_H-M 'I 4/m m m'
_symmetry_Int_Tables_number 139
_symmetry_space_group_name_Hall '-I 4 2'
loop_
_atom_site_label
_atom_site_type_symbol
_atom_site_fract_x
_atom_site_fract_y
_atom_site_fract_z
Al1 Al 0.000 0.318 0.000
Cu1 Cu 0.000 0.000 0.000
Cu2 Cu 0.167 0.167 0.500

[6]
# Al3Cu | Alexandria | SCAN | PBEsol geometry
# - E: -77.059 eV for the cell shown
# - Volume: 118 Å³/cell
# - Formation enthalpy at 0 K: -0.02 eV per atom
data_Al3Cu
_chemical_formula_sum 'Al6 Cu2'
_cell_length_a 5.4948
_cell_length_b 5.4948
_cell_length_c 4.4978
_cell_angle_alpha 90.00
_cell_angle_beta 90.00
_cell_angle_gamma 120.00
_symmetry_space_group_name_H-M 'P 63/m m c'
_symmetry_Int_Tables_number 194
_symmetry_space_group_name_Hall '-P 6c 2c'
loop_
_atom_site_label
_atom_site_type_symbol
_atom_site_fract_x
_atom_site_fract_y
_atom_site_fract_z
Al1 Al 0.1687 0.3374 0.2500
Cu1 Cu 0.3333 0.6667 0.7500